MgZrCd2: relaxed, PBE.

Lattice parameters (Å, degrees): 3.100 4.715 6.161 90.00 104.29 90.00
Space group Pm (No. 6)
Symmetry-distinct sites (fractional):
Mg: 0.000 0.000 0.000
Zr: 0.650 0.500 0.298
Cd: 0.253 0.000 0.506
Cd: 0.393 0.500 0.791

Summary:
VASP energy: -3.06 eV/atom
Total magnetic moment: 0.00 μB/cell

***

BiAuS2: relaxed, PBE.

Lattice parameters (Å, degrees): 7.587 3.579 14.722 90.00 90.00 90.00
Space group Pnma (No. 62)
Symmetry-distinct sites (fractional):
Bi: 0.087 0.250 0.126
Au: 0.109 0.750 0.378
S: 0.049 0.750 0.701
S: 0.234 0.750 0.960

Summary:
VASP energy: -3.92 eV/atom
E_form (uncorrected): -65 meV per atom
Total magnetic moment: 0.00 μB/cell

***

La5Tm4Mg: relaxed, PBE.

Lattice parameters (Å, degrees): 3.756 3.756 23.486 90.00 90.00 90.00
Space group P4/mmm (No. 123)
Symmetry-distinct sites (fractional):
La: 0.000 0.000 0.000
La: 0.000 0.000 0.202
La: 0.000 0.000 0.408
Tm: 0.500 0.500 0.101
Tm: 0.500 0.500 0.304
Mg: 0.500 0.500 0.500

Summary:
VASP energy: -4.41 eV/atom
Total magnetic moment: 0.00 μB/cell

***

Please write out number 2 again, unchanged.
BiAuS2: relaxed, PBE.

Lattice parameters (Å, degrees): 7.587 3.579 14.722 90.00 90.00 90.00
Space group Pnma (No. 62)
Symmetry-distinct sites (fractional):
Bi: 0.087 0.250 0.126
Au: 0.109 0.750 0.378
S: 0.049 0.750 0.701
S: 0.234 0.750 0.960

Summary:
VASP energy: -3.92 eV/atom
E_form (uncorrected): -65 meV per atom
Total magnetic moment: 0.00 μB/cell